20
Lattice="12.168 0.000 0.000 0.000 4.350 0.000 -2.963 0.000 12.052" Properties=species:S:1:pos:R:3 comment="Na3PbBr6 | Alexandria | PBE | optimized geometry" raw_formation_energy_kj_per_mol_atoms=-106.49 pbc="T T T"
Na 0.169 1.088 1.819
Na 0.982 3.263 6.358
Na 1.357 1.088 11.165
Na 7.847 3.263 0.887
Na 8.222 1.088 5.695
Na 9.036 3.263 10.233
Pb 4.870 1.088 3.561
Pb 4.334 3.263 8.492
Br -0.676 1.088 5.122
Br -1.460 1.088 11.281
Br 1.651 3.263 3.498
Br 1.524 3.263 9.209
Br 3.220 1.088 6.624
Br 4.788 3.263 1.320
Br 4.416 1.088 10.732
Br 5.984 3.263 5.428
Br 7.681 1.088 2.843
Br 7.553 1.088 8.554
Br 10.664 3.263 0.772
Br 9.880 3.263 6.930